DFT (PBE) results for a relaxed structure of As7Pd12Pb2.

Structure (CIF):
```
data_As7Pd12Pb2
_cell_length_a 10.3619
_cell_length_b 10.3619
_cell_length_c 4.0267
_cell_angle_alpha 90.00
_cell_angle_beta 90.00
_cell_angle_gamma 120.00
_symmetry_space_group_name_H-M 'P -3'
_symmetry_Int_Tables_number 147
loop_
_symmetry_equiv_pos_as_xyz
'x,y,z'
'-x,-y,-z'
'-y,x-y,z'
'y,-x+y,-z'
'-x+y,-x,z'
'x-y,x,-z'
loop_
_atom_site_label
_atom_site_type_symbol
_atom_site_fract_x
_atom_site_fract_y
_atom_site_fract_z
As1 As 0.0000 0.0000 0.0000
As2 As 0.1067 0.4024 0.2473
Pd1 Pd 0.0687 0.6270 0.2494
Pd2 Pd 0.1165 0.8644 0.7372
Pb1 Pb 0.3333 0.6667 0.7513
```

Computed properties:
Formation enthalpy at 0 K: -337 meV per atom
Fermi-level density of states: 9.6 states/eV per cell
Mass density: 9.83 Mg/m³
Magnetic moment: 0.00 Bohr magnetons per cell